(P)
The following is a PBE calculation of a geometry-optimized Sn2Sb2Au3 structure, from Alexandria.

The structure belongs to space group C2/m (No. 12); the cell edges are 14.058, 4.333 and 5.927 Å and the angles 90.00°, 94.70° and 90.00°. The inequivalent atoms are Sn at (0.190, 0.000, 0.255), Sb at (0.051, 0.500, 0.723), Au at (0.000, 0.000, 0.000) and Au at (0.184, 0.000, 0.741).

Its total magnetization is 0.00 μB/f.u.

(Q)
The following is a PBE calculation of a geometry-optimized Sn2Sb2Au3 structure, from Alexandria.

The structure belongs to space group C2/m (No. 12); the cell edges are 13.067, 4.427 and 7.330 Å and the angles 90.00°, 124.04° and 90.00°. The inequivalent atoms are Sn at (0.137, 0.000, 0.482), Sb at (0.104, 0.500, 0.963), Au at (0.000, 0.500, 0.500) and Au at (0.228, 0.000, 0.212).

Its total magnetization is 0.00 μB/f.u.

Which structure is most stable, and how do the rest compare? From most to least stable: (Q), (P).

(P)
The following is a PBE calculation of a geometry-optimized TlSnSbAu structure, from Alexandria.

The structure belongs to space group F-43m (No. 216); the cell edges are 7.459, 7.459 and 7.459 Å and the angles 90.00°, 90.00° and 90.00°. The inequivalent atoms are Tl at (0.000, 0.000, 0.000), Sn at (0.000, 0.000, 0.500), Sb at (0.250, 0.250, 0.750) and Au at (0.250, 0.250, 0.250).

Its total magnetization is 0.00 μB/f.u.

(Q)
The following is a PBE calculation of a geometry-optimized TlSnSbAu structure, from Alexandria.

The structure belongs to space group Imm2 (No. 44); the cell edges are 4.415, 4.450 and 12.349 Å and the angles 90.00°, 90.00° and 90.00°. The inequivalent atoms are Tl at (0.000, 0.000, 0.000), Sn at (0.000, 0.000, 0.378), Sb at (0.000, 0.500, 0.229) and Au at (0.000, 0.000, 0.600).

Its total magnetization is 0.00 μB/f.u.

Which structure is most stable, and how do the rest compare? From most to least stable: (Q), (P).

(P)
The following is a PBE calculation of a geometry-optimized TaSb2TeAu structure, from Alexandria.

The structure belongs to space group P4/mmm (No. 123); the cell edges are 5.259, 5.259 and 5.363 Å and the angles 90.00°, 90.00° and 90.00°. The inequivalent atoms are Ta at (0.000, 0.000, 0.000), Sb at (0.000, 0.500, 0.500), Te at (0.500, 0.500, 0.000) and Au at (0.500, 0.500, 0.500).

Its total magnetization is 2.12 μB/f.u.

(Q)
The following is a PBE calculation of a geometry-optimized TaSb2TeAu structure, from Alexandria.

The structure belongs to space group P4/mmm (No. 123); the cell edges are 5.370, 5.370 and 5.273 Å and the angles 90.00°, 90.00° and 90.00°. The inequivalent atoms are Ta at (0.000, 0.000, 0.000), Sb at (0.000, 0.500, 0.000), Te at (0.000, 0.000, 0.500) and Au at (0.500, 0.500, 0.500).

Its total magnetization is 0.00 μB/f.u.

Which structure is most stable, and how do the rest compare? From most to least stable: (Q), (P).